Model i:
# TbNdCo2

TbNdCo2 after structural relaxation (PBE, the Alexandria database).

```
TbNdCo2
1.0
-1.5850 0.1436 -4.5540
-1.2398 -4.0819 -2.2523
-4.6378 -0.9070 -0.9696
Nd Tb Co
1 1 2
direct
0.0000 0.0000 0.0000 Nd
0.5000 0.5000 0.5000 Tb
0.2500 0.2500 0.2500 Co
0.7500 0.7500 0.7500 Co
```

Total moment: 0.8 Bohr magnetons per cell
Symmetry: Fm-3m
DOS at the Fermi energy: 1.17 states/eV/f.u.

Model ii:
# TbNdCo2

TbNdCo2 after structural relaxation (PBE, the Alexandria database).

```
TbNdCo2
1.0
-3.1023 0.3104 -2.3305
2.5795 -3.2827 -3.8711
-3.0530 -6.2155 3.2364
Tb Nd Co
2 2 4
direct
0.5000 0.3700 0.3199 Tb
0.5000 0.6300 0.8199 Tb
0.0000 0.1315 0.6766 Nd
0.0000 0.8685 0.1766 Nd
0.0000 0.6420 0.5294 Co
0.0000 0.3580 0.0294 Co
0.5000 0.8331 0.4742 Co
0.5000 0.1669 0.9742 Co
```

Total moment: 0.7 Bohr magnetons per cell
Symmetry: Pmc2_1
DOS at the Fermi energy: 4.55 states/eV/f.u.

Unit: eV/atom. Relative energies: model i 0.093; model ii 0.000.